1.
First-principles (PBE) data for an optimized crystal structure of Ag4Os5, as listed in the Alexandria database.

Computed properties:
* magnetization: 0.00 μB per formula unit
* energy of formation from the pure elements: 715.5 meV per atom
* crystal system: tetragonal
* E_tot: -6.79 eV/atom
* DOS(E_F): 7.20 states/eV per cell

Unit cell a=6.2885 b=6.2885 c=6.2885 alpha=95.87 beta=95.87 gamma=142.70
Closest atoms and distances in Å follow each position.
Atoms (fractional coordinates):
Ag 0.3299 0.0000 0.3299  7 Os 2.78-2.94, 5 Ag 2.86-2.87
Ag 0.0000 0.6701 0.6701  7 Os 2.78-2.94, 5 Ag 2.86-2.87
Ag 0.6701 0.0000 0.6701  7 Os 2.78-2.94, 5 Ag 2.86-2.87
Ag 0.0000 0.3299 0.3299  7 Os 2.78-2.94, 5 Ag 2.86-2.87
Os 0.6512 0.6512 0.3024  4 Os 2.55-2.70, 4 Ag 2.82
Os 0.6512 0.3488 0.0000  4 Os 2.55-2.70, 4 Ag 2.82
Os 0.0000 0.0000 0.0000  8 Os 2.70, 4 Ag 2.78
Os 0.3488 0.3488 0.6976  4 Os 2.55-2.70, 4 Ag 2.82
Os 0.3488 0.6512 0.0000  4 Os 2.55-2.70, 4 Ag 2.82

2.
First-principles (PBE) data for an optimized crystal structure of Ag2Os, as listed in the Alexandria database.

Computed properties:
* magnetization: 0.00 μB per formula unit
* offset from the most stable computed form: 234 meV per atom
* energy of formation from the pure elements: 686.1 meV per atom
* crystal system: tetragonal
* E_tot: -4.96 eV/atom
* DOS(E_F): 5.18 states/eV per cell

Unit cell a=14.1594 b=14.1594 c=14.1594 alpha=169.12 beta=169.12 gamma=15.41
Closest atoms and distances in Å follow each position.
Atoms (fractional coordinates):
Ag 0.5796 0.5796 0.0000  6 Ag 2.69-2.88, 4 Os 2.93
Ag 0.3296 0.8296 0.5000  6 Ag 2.69-2.88, 4 Os 2.93
Ag 0.4204 0.4204 0.0000  6 Ag 2.69-2.88, 4 Os 2.93
Ag 0.1704 0.6704 0.5000  6 Ag 2.69-2.88, 4 Os 2.93
Os 0.0000 0.0000 0.0000  4 Os 2.69, 8 Ag 2.93
Os 0.7500 0.2500 0.5000  4 Os 2.69, 8 Ag 2.93

3.
First-principles (PBE) data for an optimized crystal structure of Ag2Os, as listed in the Alexandria database.

Computed properties:
* magnetization: 0.66 μB per formula unit
* offset from the most stable computed form: 420 meV per atom
* energy of formation from the pure elements: 872.2 meV per atom
* crystal system: hexagonal
* E_tot: -4.77 eV/atom
* DOS(E_F): 10.55 states/eV per cell

Unit cell a=8.1138 b=8.1138 c=2.6470 alpha=90.00 beta=90.00 gamma=120.00
Closest atoms and distances in Å follow each position.
Atoms (fractional coordinates):
Ag 0.3622 0.3622 0.5000  2 Ag 2.65, 5 Os 2.91-2.94
Ag 0.6378 0.0000 0.5000  2 Ag 2.65, 5 Os 2.91-2.94
Ag 0.6936 0.6936 0.0000  2 Ag 2.65, 4 Os 2.82
Ag 0.0000 0.3064 0.0000  2 Ag 2.65, 4 Os 2.82
Ag 0.0000 0.6378 0.5000  2 Ag 2.65, 5 Os 2.91-2.94
Ag 0.3064 0.0000 0.0000  2 Ag 2.65, 4 Os 2.82
Os 0.3333 0.6667 0.0000  2 Os 2.65, 9 Ag 2.82-2.91
Os 0.0000 0.0000 0.5000  2 Os 2.65, 9 Ag 2.82-2.94
Os 0.6667 0.3333 0.0000  2 Os 2.65, 9 Ag 2.82-2.91

4.
First-principles (PBE) data for an optimized crystal structure of AgOs, as listed in the Alexandria database.

Computed properties:
* magnetization: 0.00 μB per formula unit
* offset from the most stable computed form: 253 meV per atom
* energy of formation from the pure elements: 569.4 meV per atom
* crystal system: tetragonal
* E_tot: -6.47 eV/atom
* DOS(E_F): 12.57 states/eV per cell

Unit cell a=9.8724 b=9.8724 c=2.7480 alpha=90.00 beta=90.00 gamma=90.00
Closest atoms and distances in Å follow each position.
Atoms (fractional coordinates):
Os 0.5320 0.6753 0.0000  6 Os 2.49-2.75
Os 0.9031 0.4289 0.5000  1 Os 2.37
Os 0.4680 0.3247 0.0000  6 Os 2.49-2.75
Os 0.6753 0.4680 0.0000  6 Os 2.49-2.75
Os 0.5711 0.9031 0.5000  1 Os 2.37
Os 0.3247 0.5320 0.0000  6 Os 2.49-2.75
Os 0.4289 0.0969 0.5000  1 Os 2.37
Os 0.0969 0.5711 0.5000  1 Os 2.37
Ag 0.6987 0.1973 0.5000  6 Ag 2.75-2.94, 6 Os 2.84-3.05
Ag 0.3013 0.8027 0.5000  6 Ag 2.75-2.94, 6 Os 2.84-3.05
Ag 0.0380 0.8086 0.0000  8 Ag 2.72-2.94, 2 Os 2.78
Ag 0.1973 0.3013 0.5000  6 Ag 2.75-2.94, 6 Os 2.84-3.05
Ag 0.8086 0.9620 0.0000  8 Ag 2.72-2.94, 2 Os 2.78
Ag 0.8027 0.6987 0.5000  6 Ag 2.75-2.94, 6 Os 2.84-3.05
Ag 0.1914 0.0380 0.0000  8 Ag 2.72-2.94, 2 Os 2.78
Ag 0.9620 0.1914 0.0000  8 Ag 2.72-2.94, 2 Os 2.78

Which of these has the highest energy of formation from the pure elements? number 3

Among the records above, which one has the highest magnetization? number 3

What did the third record say?
First-principles (PBE) data for an optimized crystal structure of Ag2Os, as listed in the Alexandria database.

Computed properties:
* magnetization: 0.66 μB per formula unit
* offset from the most stable computed form: 420 meV per atom
* energy of formation from the pure elements: 872.2 meV per atom
* crystal system: hexagonal
* E_tot: -4.77 eV/atom
* DOS(E_F): 10.55 states/eV per cell

Unit cell a=8.1138 b=8.1138 c=2.6470 alpha=90.00 beta=90.00 gamma=120.00
Closest atoms and distances in Å follow each position.
Atoms (fractional coordinates):
Ag 0.3622 0.3622 0.5000  2 Ag 2.65, 5 Os 2.91-2.94
Ag 0.6378 0.0000 0.5000  2 Ag 2.65, 5 Os 2.91-2.94
Ag 0.6936 0.6936 0.0000  2 Ag 2.65, 4 Os 2.82
Ag 0.0000 0.3064 0.0000  2 Ag 2.65, 4 Os 2.82
Ag 0.0000 0.6378 0.5000  2 Ag 2.65, 5 Os 2.91-2.94
Ag 0.3064 0.0000 0.0000  2 Ag 2.65, 4 Os 2.82
Os 0.3333 0.6667 0.0000  2 Os 2.65, 9 Ag 2.82-2.91
Os 0.0000 0.0000 0.5000  2 Os 2.65, 9 Ag 2.82-2.94
Os 0.6667 0.3333 0.0000  2 Os 2.65, 9 Ag 2.82-2.91